Compound: Nd20Mn19O60
Source: Alexandria
Functional: GGA+U
Structure: relaxed

a b c (Å): 9.4635 11.0535 12.9132
angles (deg): 74.74 75.69 73.45
Each line ends with the local moment (μB).
Fractional coordinates of all 99 atoms:
Mn  0.0000  0.0000  0.5000  3.89
Mn  0.2006  0.3006  0.0991  3.89
Mn  0.9009  0.5998  0.1978  3.80
Mn  0.3996  0.1005  0.6957  3.90
Mn  0.0994  0.9022  0.7983  3.91
Mn  0.9006  0.0978  0.2017  3.91
Mn  0.8009  0.1993  0.8988  3.89
Mn  0.6959  0.2950  0.5985  3.80
Mn  0.6932  0.8049  0.5993  3.38
Mn  0.7994  0.6994  0.9009  3.89
Mn  0.6004  0.8995  0.3043  3.90
Mn  0.5000  0.5000  0.0000  3.88
Mn  0.3041  0.7050  0.4015  3.80
Mn  0.6024  0.4001  0.3011  3.89
Mn  0.3976  0.5999  0.6989  3.89
Mn  0.1991  0.8007  0.1012  3.89
Mn  0.5000  0.0000  0.0000  3.89
Mn  0.0991  0.4002  0.8022  3.80
Mn  0.3068  0.1951  0.4007  3.38
O  0.7998  0.7417  0.7245  -0.01
O  0.4170  0.8373  0.3204  -0.04
O  0.9179  0.0335  0.8287  -0.01
O  0.0049  0.5406  0.3163  -0.04
O  0.2760  0.2732  0.7060  -0.03
O  0.8143  0.4161  0.5348  -0.06
O  0.3946  0.0568  0.8760  -0.01
O  0.2153  0.0374  0.7170  -0.04
O  0.3924  0.8575  0.0589  -0.04
O  0.5258  0.9201  0.6901  -0.03
O  0.7847  0.9626  0.2830  -0.04
O  0.5874  0.8639  0.4779  -0.01
O  0.6465  0.3059  0.4445  -0.02
O  0.9804  0.7690  0.8787  -0.04
O  0.7240  0.7268  0.2940  -0.03
O  0.5527  0.4960  0.1578  -0.01
O  0.6174  0.6311  0.9210  -0.03
O  0.9512  0.1014  0.3587  -0.02
O  0.2002  0.2583  0.2755  -0.01
O  0.1125  0.8435  0.4281  -0.04
O  0.2510  0.7052  0.2422  -0.03
O  0.1512  0.8959  0.9573  -0.01
O  0.7923  0.6595  0.0765  0.00
O  0.6054  0.9432  0.1240  -0.01
O  0.3535  0.6941  0.5555  -0.02
O  0.7191  0.2338  0.2270  -0.02
O  0.2024  0.0578  0.4537  -0.04
O  0.9248  0.5272  0.8941  -0.01
O  0.3184  0.6347  0.0272  -0.01
O  0.6076  0.1425  0.9411  -0.04
O  0.4862  0.5670  0.3714  -0.02
O  0.8488  0.1041  0.0427  -0.01
O  0.7945  0.4570  0.2592  -0.04
O  0.6816  0.3653  0.9728  -0.01
O  0.8875  0.1565  0.5719  -0.04
O  0.0821  0.9665  0.1713  -0.01
O  0.4473  0.5040  0.8422  -0.01
O  0.8457  0.6956  0.5173  -0.06
O  0.0069  0.7432  0.1419  -0.04
O  0.5830  0.1627  0.6796  -0.04
O  0.3826  0.3689  0.0790  -0.03
O  0.0752  0.4728  0.1060  -0.01
O  0.9951  0.4594  0.6837  -0.04
O  0.6741  0.8716  0.9093  -0.01
O  0.7490  0.2948  0.7578  -0.03
O  0.1543  0.3044  0.4827  -0.06
O  0.0196  0.2310  0.1213  -0.04
O  0.2809  0.7662  0.7730  -0.02
O  0.4114  0.3401  0.3416  -0.04
O  0.4742  0.0799  0.3099  -0.03
O  0.1857  0.5839  0.4652  -0.06
O  0.7976  0.9422  0.5463  -0.04
O  0.9931  0.2568  0.8581  -0.04
O  0.4126  0.1361  0.5221  -0.01
O  0.0488  0.8986  0.6413  -0.02
O  0.2077  0.3405  0.9235  0.00
O  0.5138  0.4330  0.6286  -0.02
O  0.2055  0.5430  0.7408  -0.04
O  0.3259  0.1284  0.0907  -0.01
O  0.5886  0.6599  0.6584  -0.04
Nd  0.4297  0.8185  0.8746  0.01
Nd  0.5425  0.7081  0.1816  0.01
Nd  0.9740  0.7630  0.3354  0.01
Nd  0.1423  0.1075  0.9789  0.01
Nd  0.6449  0.6081  0.4788  0.01
Nd  0.7426  0.5084  0.7772  0.01
Nd  0.6610  0.0942  0.4198  0.01
Nd  0.1695  0.5822  0.9249  0.01
Nd  0.2265  0.0231  0.2723  0.01
Nd  0.7735  0.9769  0.7277  0.01
Nd  0.3551  0.3919  0.5212  0.01
Nd  0.0484  0.6823  0.6141  0.02
Nd  0.5703  0.1815  0.1254  0.01
Nd  0.8577  0.8925  0.0211  0.01
Nd  0.3390  0.9058  0.5802  0.01
Nd  0.8305  0.4178  0.0751  0.01
Nd  0.9516  0.3177  0.3859  0.02
Nd  0.4575  0.2919  0.8184  0.01
Nd  0.2574  0.4916  0.2228  0.01
Nd  0.0260  0.2370  0.6646  0.01

Computed properties:
Raw total energy   -7.933 eV/atom
DOS(E_F)   7.868 states/eV per cell